VASP calculation (GGA-PBE) on a relaxed structure of AgAuSe.

Geometry as POSCAR:
```
AgAuSe
1.0
-4.367 1.295 0.856
0.813 -0.512 4.923
2.515 5.336 0.139
Ag Au Se
2 2 2
direct
0.448 0.250 0.720 Ag
0.552 0.750 0.280 Ag
0.885 0.250 0.380 Au
0.115 0.750 0.620 Au
0.342 0.250 0.190 Se
0.658 0.750 0.810 Se
```

Values from the calculation:
formation energy from raw total energies	20	meV per atom
energy	-3.184	eV per atom
magnetization	0.00	μB per cell